# MnTcF3 (PBE+U, optimized geometry)
data_MnTcF3
_chemical_formula_sum 'Mn1 Tc1 F3'
_symmetry_space_group_name_H-M 'P 1'
_symmetry_Int_Tables_number 1
_symmetry_space_group_name_Hall 'P 1'
_cell_length_a 3.974
_cell_length_b 3.974
_cell_length_c 3.974
_cell_angle_alpha 90.00
_cell_angle_beta 90.00
_cell_angle_gamma 90.00
loop_
_atom_site_label
_atom_site_type_symbol
_atom_site_fract_x
_atom_site_fract_y
_atom_site_fract_z
_atom_site_occupancy
Mn1 Mn 0.000 0.000 0.000 1
F1 F 0.000 0.000 0.500 1
F2 F 0.500 0.000 0.000 1
F3 F 0.000 0.500 0.000 1
Tc1 Tc 0.500 0.500 0.500 1
# Symmetry: Pm-3m
# DOS at the Fermi energy: 2.436 states/eV/atom
# Excess energy over the best structure of this formula in the dataset: 0.949 eV/atom
# Crystal system: cubic
# Magnetic moment: 1.5 μB/f.u.